Entry 1:
Entry from the Alexandria database: crystalline In4Hg6Br at its relaxed geometry (PBE-GGA).

Unit cell a=7.518 b=9.879 c=9.876 alpha=90.00 beta=90.00 gamma=90.00
Atoms (fractional coordinates):
In1 0.274 0.000 0.259
In2 0.774 0.759 0.500
In3 0.774 0.241 0.500
In4 0.274 0.000 0.741
In5 0.226 0.500 0.759
In6 0.726 0.259 0.000
In7 0.726 0.741 0.000
In8 0.226 0.500 0.241
Hg1 0.500 0.721 0.279
Hg2 0.500 0.279 0.279
Hg3 0.014 0.000 0.500
Hg4 0.514 0.000 0.500
Hg5 0.500 0.279 0.721
Hg6 0.500 0.721 0.721
Hg7 0.000 0.779 0.779
Hg8 0.000 0.221 0.779
Hg9 0.986 0.500 0.000
Hg10 0.486 0.500 0.000
Hg11 0.000 0.779 0.221
Hg12 0.000 0.221 0.221
Br1 0.000 0.500 0.500
Br2 0.500 0.000 0.000

Summary:
**Energy relative to the elements, uncorrected**: -1 kJ/mol of formula units
**Total magnetic moment**: 0.0 μB per formula unit
**Raw total energy**: -28.89 eV/cell
**Volume**: 33.34 Å³/atom

***

Entry 2:
Entry from the Alexandria database: crystalline In2Hg2Br at its relaxed geometry (PBE-GGA).

Unit cell a=8.765 b=8.765 c=3.780 alpha=90.00 beta=90.00 gamma=90.00
Atoms (fractional coordinates):
Hg1 0.373 0.873 0.000
Hg2 0.873 0.627 0.000
Hg3 0.627 0.127 0.000
Hg4 0.127 0.373 0.000
Br1 0.000 0.000 0.000
Br2 0.500 0.500 0.000
In1 0.179 0.679 0.500
In2 0.679 0.821 0.500
In3 0.821 0.321 0.500
In4 0.321 0.179 0.500

Summary:
**Energy relative to the elements, uncorrected**: -70 kJ/mol of formula units
**Total magnetic moment**: 0.0 μB per formula unit
**Raw total energy**: -16.96 eV/cell
**Volume**: 29.03 Å³/atom

***

Entry 3:
Entry from the Alexandria database: crystalline In2HgBr8 at its relaxed geometry (PBE-GGA).

Unit cell a=6.827 b=8.250 c=8.250 alpha=84.28 beta=87.57 gamma=87.57
Atoms (fractional coordinates):
In1 0.365 0.220 0.220
In2 0.635 0.780 0.780
Hg1 0.000 0.000 0.000
Br1 0.772 0.071 0.722
Br2 0.228 0.278 0.929
Br3 0.739 0.209 0.209
Br4 0.261 0.791 0.791
Br5 0.772 0.722 0.071
Br6 0.228 0.929 0.278
Br7 0.240 0.415 0.415
Br8 0.760 0.585 0.585

Summary:
**Energy relative to the elements, uncorrected**: -717 kJ/mol of formula units
**Total magnetic moment**: 0.0 μB per formula unit
**Raw total energy**: -26.59 eV/cell
**Volume**: 41.97 Å³/atom

***

Entry 4:
Entry from the Alexandria database: crystalline In3Hg12Br5 at its relaxed geometry (PBE-GGA).

Unit cell a=15.614 b=15.614 c=15.614 alpha=109.47 beta=109.47 gamma=109.47
Atoms (fractional coordinates):
In1 0.750 0.375 0.125
In2 0.875 0.750 0.125
In3 0.375 0.750 0.625
In4 0.250 0.125 0.375
In5 0.875 0.125 0.250
In6 0.375 0.625 0.250
In7 0.625 0.375 0.750
In8 0.125 0.875 0.750
In9 0.750 0.875 0.625
In10 0.625 0.250 0.375
In11 0.125 0.250 0.875
In12 0.250 0.625 0.875
Br1 0.125 0.375 0.250
Br2 0.000 0.500 0.000
Br3 0.000 0.000 0.000
Br4 0.375 0.250 0.125
Br5 0.500 0.000 0.500
Br6 0.500 0.500 0.000
Br7 0.125 0.750 0.375
Br8 0.750 0.125 0.875
Br9 0.750 0.625 0.375
Br10 0.375 0.125 0.750
Br11 0.625 0.875 0.250
Br12 0.500 0.500 0.500
Br13 0.500 0.000 0.000
Br14 0.000 0.000 0.500
Br15 0.250 0.375 0.625
Br16 0.250 0.875 0.125
Br17 0.000 0.500 0.500
Br18 0.875 0.250 0.625
Br19 0.625 0.750 0.875
Br20 0.875 0.625 0.750
Hg1 0.737 0.140 0.070
Hg2 0.333 0.570 0.431
Hg3 0.930 0.360 0.263
Hg4 0.570 0.237 0.140
Hg5 0.597 0.737 0.667
Hg6 0.930 0.569 0.167
Hg7 0.333 0.763 0.403
Hg8 0.069 0.903 0.140
Hg9 0.569 0.930 0.667
Hg10 0.737 0.597 0.167
Hg11 0.763 0.430 0.360
Hg12 0.833 0.931 0.070
Hg13 0.140 0.737 0.570
Hg14 0.360 0.431 0.097
Hg15 0.097 0.931 0.360
Hg16 0.403 0.140 0.569
Hg17 0.097 0.167 0.237
Hg18 0.430 0.667 0.069
Hg19 0.833 0.903 0.263
Hg20 0.140 0.403 0.069
Hg21 0.360 0.930 0.763
Hg22 0.569 0.640 0.403
Hg23 0.931 0.833 0.570
Hg24 0.763 0.333 0.903
Hg25 0.431 0.360 0.597
Hg26 0.069 0.167 0.430
Hg27 0.237 0.667 0.097
Hg28 0.167 0.097 0.737
Hg29 0.640 0.070 0.237
Hg30 0.860 0.597 0.931
Hg31 0.570 0.333 0.931
Hg32 0.597 0.860 0.431
Hg33 0.903 0.833 0.763
Hg34 0.903 0.069 0.640
Hg35 0.860 0.263 0.430
Hg36 0.167 0.069 0.930
Hg37 0.640 0.569 0.903
Hg38 0.431 0.070 0.333
Hg39 0.263 0.403 0.833
Hg40 0.237 0.570 0.640
Hg41 0.931 0.097 0.860
Hg42 0.667 0.237 0.597
Hg43 0.430 0.763 0.860
Hg44 0.070 0.431 0.833
Hg45 0.403 0.263 0.333
Hg46 0.070 0.640 0.737
Hg47 0.667 0.430 0.569
Hg48 0.263 0.860 0.930

Summary:
**Energy relative to the elements, uncorrected**: -189 kJ/mol of formula units
**Total magnetic moment**: 0.0 μB per formula unit
**Raw total energy**: -88.64 eV/cell
**Volume**: 36.63 Å³/atom

***

Entry 5:
Entry from the Alexandria database: crystalline In4Hg3Br3 at its relaxed geometry (PBE-GGA).

Unit cell a=4.687 b=8.231 c=8.231 alpha=88.23 beta=90.00 gamma=90.00
Atoms (fractional coordinates):
In1 0.000 0.657 0.343
In2 0.000 0.372 0.628
In3 0.001 0.838 0.861
In4 0.999 0.139 0.162
Hg1 0.000 0.490 0.001
Hg2 0.000 0.999 0.510
Hg3 0.500 0.167 0.833
Br1 0.500 0.840 0.160
Br2 0.500 0.330 0.333
Br3 0.500 0.667 0.670

Summary:
**Energy relative to the elements, uncorrected**: -305 kJ/mol of formula units
**Total magnetic moment**: 0.0 μB per formula unit
**Raw total energy**: -20.04 eV/cell
**Volume**: 31.74 Å³/atom

***

Entry 6:
Entry from the Alexandria database: crystalline InHg2Br at its relaxed geometry (PBE-GGA).

Unit cell a=7.895 b=7.895 c=7.895 alpha=32.06 beta=32.06 gamma=32.06
Atoms (fractional coordinates):
Hg1 0.996 0.996 0.996
Hg2 0.504 0.504 0.504
Br1 0.750 0.750 0.750
In1 0.250 0.250 0.250

Summary:
**Energy relative to the elements, uncorrected**: -74 kJ/mol of formula units
**Total magnetic moment**: 0.0 μB per formula unit
**Raw total energy**: -5.79 eV/cell
**Volume**: 30.79 Å³/atom